Record 1
{"formula": "ReTc2TeCl", "functional": "PBE-GGA", "state": "relaxed", "lattice": [[4.8833, 0.0000, 0.0000], [0.0000, 4.4993, 0.0000], [0.0000, 0.0000, 4.8833]], "species": ["Re", "Te", "Tc", "Tc", "Cl"], "fractional_positions": [[0.0000, 0.0000, 0.0000], [0.5000, 0.5000, 0.5000], [0.0000, 0.0000, 0.5000], [0.5000, 0.0000, 0.0000], [0.0000, 0.5000, 0.0000]], "spacegroup": "P4/mmm, No. 123", "density_kg_m3": 8439, "energy_ev_per_cell": -31.8}

Record 2
{"formula": "Re2TcTeCl", "functional": "PBE-GGA", "state": "relaxed", "lattice": [[-2.7903, 2.2859, -3.3291], [-3.6284, -3.6987, 0.5015], [-2.1452, 2.5893, 3.5760]], "species": ["Re", "Re", "Te", "Tc", "Cl"], "fractional_positions": [[0.0000, 0.0000, 0.5000], [0.5000, 0.0000, 0.0000], [0.0000, 0.0000, 0.0000], [0.5000, 0.5000, 0.5000], [0.0000, 0.5000, 0.0000]], "spacegroup": "P4/mmm, No. 123", "density_kg_m3": 8387, "energy_ev_per_cell": -27.8}

Record 3
{"formula": "TiReTc2Cl", "functional": "PBE-GGA", "state": "relaxed", "lattice": [[4.3193, 0.0000, 0.0000], [0.0000, 4.3700, 0.0000], [0.0000, 0.0000, 4.3193]], "species": ["Re", "Cl", "Tc", "Tc", "Ti"], "fractional_positions": [[0.0000, 0.5000, 0.0000], [0.0000, 0.0000, 0.0000], [0.0000, 0.0000, 0.5000], [0.5000, 0.0000, 0.0000], [0.5000, 0.5000, 0.5000]], "spacegroup": "P4/mmm, No. 123", "density_kg_m3": 9482, "energy_ev_per_cell": -37.9}

Record 4
{"formula": "ReTe2Cl", "functional": "PBE-GGA", "state": "relaxed", "lattice": [[3.1758, 0.0056, 0.0000], [-1.6428, 2.7179, 0.0000], [0.0000, 0.0000, 11.6438]], "species": ["Cl", "Re", "Te", "Te"], "fractional_positions": [[0.0000, 0.0000, 0.5812], [0.5000, 0.5000, 0.7420], [0.0000, 0.0000, 0.9342], [0.5000, 0.5000, 0.2426]], "spacegroup": "Cmm2, No. 35", "density_kg_m3": 7870, "relative_energy_ev_per_fu": 1.68, "energy_ev_per_cell": -18.7}

Record 5
{"formula": "ReTe2Cl", "functional": "PBE-GGA", "state": "relaxed", "lattice": [[-1.5837, -2.0779, 5.5323], [-4.6464, -3.7925, -1.2085], [5.9885, 1.1911, -0.3895]], "species": ["Cl", "Re", "Te", "Te"], "fractional_positions": [[0.7500, 0.2500, 0.5000], [0.2500, 0.7500, 0.5000], [0.0342, 0.0342, 0.0000], [0.4658, 0.4658, 0.0000]], "spacegroup": "Immm, No. 71", "density_kg_m3": 7251, "relative_energy_ev_per_fu": 1.98, "energy_ev_per_cell": -18.3}

Record 6
{"formula": "ReTe2Cl", "functional": "PBE-GGA", "state": "relaxed", "lattice": [[-2.3686, 7.3442, 7.9927], [-5.4339, 6.6865, 7.0138], [-3.9659, 4.7528, 9.2257]], "species": ["Cl", "Re", "Te", "Te"], "fractional_positions": [[0.4708, 0.4708, 0.4708], [0.7496, 0.7496, 0.7496], [0.0262, 0.0262, 0.0262], [0.2534, 0.2534, 0.2534]], "spacegroup": "R3m, No. 160", "density_kg_m3": 7743, "relative_energy_ev_per_fu": 0.81, "energy_ev_per_cell": -19.5}

Record 7
{"formula": "Re2TeCl", "functional": "PBE-GGA", "state": "relaxed", "lattice": [[3.0029, 0.0000, 0.0000], [0.0000, 3.1136, -0.0700], [0.0000, 3.3764, 9.1049]], "species": ["Cl", "Re", "Re", "Te"], "fractional_positions": [[0.5000, 0.9327, 0.8227], [0.0000, 0.7161, 0.0351], [0.5000, 0.0539, 0.1944], [0.0000, 0.7973, 0.4477]], "spacegroup": "Pm, No. 6", "density_kg_m3": 10359, "relative_energy_ev_per_fu": 0.00, "energy_ev_per_cell": -29.6}

Record 8
{"formula": "ReTeCl", "functional": "PBE-GGA", "state": "relaxed", "lattice": [[-0.4875, -0.5540, 3.2693], [-2.3885, -0.8024, -2.2100], [2.9381, -6.7855, -0.7118]], "species": ["Cl", "Re", "Te"], "fractional_positions": [[0.0000, 0.0000, 0.0907], [0.3333, 0.6667, 0.3340], [0.6667, 0.3333, 0.5753]], "spacegroup": "P3m1, No. 156", "density_kg_m3": 8025, "relative_energy_ev_per_fu": 0.83, "energy_ev_per_cell": -16.8}

Record 9
{"formula": "Re2TeCl", "functional": "PBE-GGA", "state": "relaxed", "lattice": [[4.0329, 2.0437, 0.4513], [0.3436, 3.8428, 2.3998], [2.1167, -0.0139, 4.0204]], "species": ["Re", "Re", "Te", "Cl"], "fractional_positions": [[0.2500, 0.2500, 0.2500], [0.7500, 0.7500, 0.7500], [0.5000, 0.5000, 0.5000], [0.0000, 0.0000, 0.0000]], "spacegroup": "Fm-3m, No. 225", "density_kg_m3": 13406, "relative_energy_ev_per_fu": 4.51, "energy_ev_per_cell": -25.1}

Record 10
{"formula": "ReTe2Cl", "functional": "PBE-GGA", "state": "relaxed", "lattice": [[0.0000, 3.4539, 3.4539], [3.4539, 0.0000, 3.4539], [3.4539, 3.4539, 0.0000]], "species": ["Re", "Te", "Te", "Cl"], "fractional_positions": [[0.5000, 0.5000, 0.5000], [0.2500, 0.2500, 0.2500], [0.7500, 0.7500, 0.7500], [0.0000, 0.0000, 0.0000]], "spacegroup": "Fm-3m, No. 225", "density_kg_m3": 9609, "relative_energy_ev_per_fu": 2.24, "energy_ev_per_cell": -18.1}

Record 11
{"formula": "ReTe2Cl", "functional": "PBE-GGA", "state": "relaxed", "lattice": [[-4.6069, 6.0126, 3.7935], [-3.7671, 3.4211, 6.7728], [-1.0441, 6.1951, 5.6830]], "species": ["Re", "Te", "Te", "Cl"], "fractional_positions": [[0.5000, 0.5000, 0.5000], [0.8889, 0.8889, 0.8889], [0.1111, 0.1111, 0.1111], [0.0000, 0.0000, 0.0000]], "spacegroup": "R-3m, No. 166", "density_kg_m3": 6889, "relative_energy_ev_per_fu": 0.31, "energy_ev_per_cell": -20.0}

Record 12
{"formula": "ReTe2Cl", "functional": "PBE-GGA", "state": "relaxed", "lattice": [[3.1279, 0.0000, 0.0000], [0.0000, 3.1279, 0.0000], [0.0000, 0.0000, 10.6179]], "species": ["Cl", "Re", "Te", "Te"], "fractional_positions": [[0.0000, 0.0000, 0.5977], [0.5000, 0.5000, 0.7544], [0.0000, 0.0000, 0.9069], [0.5000, 0.5000, 0.2410]], "spacegroup": "P4mm, No. 99", "density_kg_m3": 7622, "relative_energy_ev_per_fu": 1.15, "energy_ev_per_cell": -19.2}

Record 13
{"formula": "Re2TeCl", "functional": "PBE-GGA", "state": "relaxed", "lattice": [[4.4691, 0.0066, 0.0030], [3.4159, 2.8818, 0.0030], [1.0411, 0.3814, 5.3090]], "species": ["Cl", "Re", "Re", "Te"], "fractional_positions": [[0.2500, 0.2500, 0.2500], [0.0020, 0.0020, 0.0343], [0.4980, 0.4980, 0.4657], [0.7500, 0.7500, 0.7500]], "spacegroup": "C2/m, No. 12", "density_kg_m3": 13029, "relative_energy_ev_per_fu": 3.65, "energy_ev_per_cell": -26.0}

Record 14
{"formula": "ReTe2Cl", "functional": "PBE-GGA", "state": "relaxed", "lattice": [[-1.8714, -4.7028, 0.7165], [1.6472, -2.2615, -4.2784], [2.8903, 2.6098, 3.3116]], "species": ["Cl", "Re", "Te", "Te"], "fractional_positions": [[0.5000, 0.5000, 0.0000], [0.7500, 0.2500, 0.5000], [0.0000, 0.0000, 0.0000], [0.2500, 0.7500, 0.5000]], "spacegroup": "I-4m2, No. 119", "density_kg_m3": 9350, "relative_energy_ev_per_fu": 3.96, "energy_ev_per_cell": -16.4}

Record 15
{"formula": "ReTe2Cl", "functional": "PBE-GGA", "state": "relaxed", "lattice": [[3.6358, -0.0111, 0.0395], [1.8320, 3.1405, 0.0395], [1.7318, 0.9911, 8.2878]], "species": ["Cl", "Re", "Te", "Te"], "fractional_positions": [[0.7500, 0.7500, 0.7500], [0.2500, 0.2500, 0.2500], [0.9873, 0.9873, 0.0385], [0.5127, 0.5127, 0.4615]], "spacegroup": "R-3m, No. 166", "density_kg_m3": 8378, "relative_energy_ev_per_fu": 0.00, "energy_ev_per_cell": -20.3}

Record 16
{"formula": "Re2TeCl", "functional": "PBE-GGA", "state": "relaxed", "lattice": [[3.8797, -0.0414, 0.0201], [2.5730, 2.9041, 0.0201], [-0.6452, -0.2862, 9.0372]], "species": ["Cl", "Re", "Re", "Te"], "fractional_positions": [[0.1408, 0.1408, 0.1841], [0.1072, 0.1072, 0.9350], [0.7777, 0.7777, 0.7985], [0.4743, 0.4743, 0.5823]], "spacegroup": "Cm, No. 8", "density_kg_m3": 8647, "relative_energy_ev_per_fu": 0.48, "energy_ev_per_cell": -29.1}

Record 17
{"formula": "Re2TeCl", "functional": "PBE-GGA", "state": "relaxed", "lattice": [[-1.5786, 5.1214, 1.1818], [-3.2171, -1.9173, 4.0114], [1.9708, 2.0867, 6.3317]], "species": ["Re", "Re", "Re", "Re", "Te", "Te", "Cl", "Cl"], "fractional_positions": [[0.5666, 0.1250, 0.2500], [0.1834, 0.6250, 0.2500], [0.3750, 0.4334, 0.7500], [0.8750, 0.8166, 0.7500], [0.0000, 0.0000, 0.0000], [0.7500, 0.2500, 0.5000], [0.5000, 0.5000, 0.0000], [0.2500, 0.7500, 0.5000]], "spacegroup": "I-42d, No. 122", "density_kg_m3": 10237, "relative_energy_ev_per_fu": 5.01, "energy_ev_per_cell": -49.2}

Record 18
{"formula": "ReTe2Cl", "functional": "PBE-GGA", "state": "relaxed", "lattice": [[5.2494, -0.0113, 0.0000], [-2.0259, 4.8428, 0.0000], [0.0000, 0.0000, 3.3679]], "species": ["Cl", "Re", "Te", "Te"], "fractional_positions": [[0.5000, 0.0000, 0.5000], [0.0000, 0.5000, 0.5000], [0.0000, 0.0000, 0.0000], [0.5000, 0.5000, 0.0000]], "spacegroup": "Cmmm, No. 65", "density_kg_m3": 9257, "relative_energy_ev_per_fu": 3.62, "energy_ev_per_cell": -16.7}

Record 19
{"formula": "ReTeCl", "functional": "PBE-GGA", "state": "relaxed", "lattice": [[-1.6585, -7.1008, -4.0870], [0.2610, -5.3700, -5.9746], [1.1614, -2.3904, 1.7834]], "species": ["Cl", "Re", "Te"], "fractional_positions": [[0.9599, 0.9599, 0.0401], [0.3396, 0.3396, 0.6604], [0.7006, 0.7006, 0.2994]], "spacegroup": "Fmm2, No. 42", "density_kg_m3": 8380, "relative_energy_ev_per_fu": 1.77, "energy_ev_per_cell": -15.9}

Record 20
{"formula": "Re3TeCl", "functional": "PBE-GGA", "state": "relaxed", "lattice": [[4.9552, 0.0000, 0.0000], [0.0000, 4.9552, 0.0000], [0.0000, 0.0000, 4.9552]], "species": ["Re", "Re", "Re", "Te", "Cl"], "fractional_positions": [[0.0000, 0.5000, 0.0000], [0.0000, 0.0000, 0.5000], [0.5000, 0.0000, 0.0000], [0.0000, 0.0000, 0.0000], [0.5000, 0.5000, 0.5000]], "spacegroup": "Pm-3m, No. 221", "density_kg_m3": 9850, "relative_energy_ev_per_fu": 4.58, "energy_ev_per_cell": -28.0}